Density functional theory data (GGA-PBE) for a relaxed LiZn3Au6 crystal.

Geometry as POSCAR:
```
LiZn3Au6
1.0
8.712 0.000 0.000
0.000 4.165 0.000
-0.789 0.000 9.160
Li Zn Au
2 6 12
Direct
0.053 0.250 0.395 Li
0.947 0.750 0.605 Li
0.245 0.250 0.021 Zn
0.349 0.750 0.807 Zn
0.447 0.250 0.604 Zn
0.553 0.750 0.396 Zn
0.651 0.250 0.193 Zn
0.755 0.750 0.979 Zn
0.066 0.750 0.903 Au
0.150 0.750 0.212 Au
0.159 0.250 0.703 Au
0.254 0.750 0.513 Au
0.368 0.250 0.314 Au
0.462 0.750 0.101 Au
0.538 0.250 0.899 Au
0.632 0.750 0.686 Au
0.746 0.250 0.487 Au
0.841 0.750 0.297 Au
0.850 0.250 0.788 Au
0.934 0.250 0.097 Au
```

E above lowest polymorph: 0 meV per atom
D(E_F): 5.2 states/eV per cell
total moment: 0.0 μB/cell
uncorrected energy: -2.7962 eV/atom
energy of formation from the pure elements: -0.256 eV per atom
symmetry: P2_1/m
volume: 332 Å³ per cell

***

Density functional theory data (GGA-PBE) for a relaxed LiZnAu2 crystal.

Geometry as POSCAR:
```
LiZnAu2
1.0
1.469 0.848 8.806
-1.469 0.848 8.806
0.000 -1.697 8.806
Li Zn Au
1 1 2
Direct
0.000 0.000 0.000 Li
0.500 0.500 0.500 Zn
0.252 0.252 0.252 Au
0.748 0.748 0.748 Au
```

D(E_F): 0.5 states/eV per cell
total moment: 0.0 μB/cell
uncorrected energy: -2.7056 eV/atom
energy of formation from the pure elements: -0.270 eV per atom
symmetry: R-3m
volume: 66 Å³ per cell

***

Density functional theory data (GGA-PBE) for a relaxed Li5ZnAu crystal.

Geometry as POSCAR:
```
Li5ZnAu
1.0
2.994 -2.999 0.000
2.994 2.999 0.000
0.000 0.000 6.818
Li Zn Au
5 1 1
Direct
0.000 0.000 0.000 Li
0.000 0.500 0.262 Li
0.000 0.500 0.738 Li
0.500 0.000 0.262 Li
0.500 0.000 0.738 Li
0.000 0.000 0.500 Zn
0.500 0.500 0.000 Au
```

D(E_F): 1.3 states/eV per cell
total moment: 0.0 μB/cell
uncorrected energy: -2.2171 eV/atom
energy of formation from the pure elements: -0.200 eV per atom
symmetry: Cmmm
volume: 122 Å³ per cell

***

Density functional theory data (GGA-PBE) for a relaxed Li2ZnAu9 crystal.

Geometry as POSCAR:
```
Li2ZnAu9
1.0
4.076 0.000 0.000
0.000 4.076 0.000
0.000 0.000 12.271
Li Zn Au
2 1 9
Direct
0.000 0.000 0.165 Li
0.000 0.000 0.835 Li
0.000 0.000 0.500 Zn
0.000 0.500 0.000 Au
0.000 0.500 0.331 Au
0.000 0.500 0.669 Au
0.500 0.000 0.000 Au
0.500 0.000 0.331 Au
0.500 0.000 0.669 Au
0.500 0.500 0.166 Au
0.500 0.500 0.500 Au
0.500 0.500 0.834 Au
```

D(E_F): 4.0 states/eV per cell
total moment: 0.0 μB/cell
uncorrected energy: -3.1587 eV/atom
energy of formation from the pure elements: -0.276 eV per atom
symmetry: P4/mmm
volume: 204 Å³ per cell

***

Density functional theory data (GGA-PBE) for a relaxed LiZn6Au crystal.

Geometry as POSCAR:
```
LiZn6Au
1.0
4.384 0.000 0.000
0.000 2.799 4.870
0.000 -2.799 4.870
Li Zn Au
1 6 1
Direct
0.000 0.000 0.000 Li
0.000 0.509 0.992 Zn
0.000 0.992 0.509 Zn
0.500 0.323 0.840 Zn
0.500 0.327 0.327 Zn
0.500 0.838 0.838 Zn
0.500 0.840 0.323 Zn
0.000 0.499 0.499 Au
```

E above lowest polymorph: 0 meV per atom
D(E_F): 0.9 states/eV per cell
total moment: 0.0 μB/cell
uncorrected energy: -1.7797 eV/atom
energy of formation from the pure elements: -0.175 eV per atom
symmetry: Amm2
volume: 120 Å³ per cell

***

Density functional theory data (GGA-PBE) for a relaxed Li3Zn2Au2 crystal.

Geometry as POSCAR:
```
Li3Zn2Au2
1.0
4.198 -2.011 0.000
4.198 2.011 0.000
-1.269 0.000 6.322
Li Zn Au
3 2 2
Direct
0.000 0.000 0.000 Li
0.141 0.141 0.436 Li
0.859 0.859 0.564 Li
0.286 0.286 0.858 Zn
0.714 0.714 0.142 Zn
0.425 0.425 0.275 Au
0.575 0.575 0.725 Au
```

E above lowest polymorph: 0 meV per atom
D(E_F): 1.7 states/eV per cell
total moment: 0.0 μB/cell
uncorrected energy: -2.5561 eV/atom
energy of formation from the pure elements: -0.435 eV per atom
symmetry: C2/m
volume: 107 Å³ per cell

***

Density functional theory data (GGA-PBE) for a relaxed Li5Zn2Au2 crystal.

Geometry as POSCAR:
```
Li5Zn2Au2
1.0
4.150 -2.013 0.000
4.150 2.013 0.000
-1.813 0.000 9.009
Li Zn Au
5 2 2
Direct
0.000 0.000 0.000 Li
0.165 0.165 0.596 Li
0.293 0.293 0.900 Li
0.707 0.707 0.100 Li
0.835 0.835 0.404 Li
0.124 0.124 0.286 Zn
0.876 0.876 0.714 Zn
0.416 0.416 0.206 Au
0.584 0.584 0.794 Au
```

E above lowest polymorph: 0 meV per atom
D(E_F): 2.2 states/eV per cell
total moment: 0.0 μB/cell
uncorrected energy: -2.3929 eV/atom
energy of formation from the pure elements: -0.318 eV per atom
symmetry: C2/m
volume: 150 Å³ per cell

***

Density functional theory data (GGA-PBE) for a relaxed Li6Zn2Au crystal.

Geometry as POSCAR:
```
Li6Zn2Au
1.0
3.894 2.248 2.621
-3.894 2.248 2.621
0.000 -4.496 2.621
Li Zn Au
6 2 1
Direct
0.000 0.336 0.664 Li
0.000 0.664 0.336 Li
0.336 0.000 0.664 Li
0.336 0.664 0.000 Li
0.664 0.000 0.336 Li
0.664 0.336 0.000 Li
0.162 0.162 0.162 Zn
0.838 0.838 0.838 Zn
0.500 0.500 0.500 Au
```

E above lowest polymorph: 0 meV per atom
D(E_F): 3.5 states/eV per cell
total moment: 0.0 μB/cell
uncorrected energy: -2.1700 eV/atom
energy of formation from the pure elements: -0.247 eV per atom
symmetry: R-3m
volume: 138 Å³ per cell

***

Density functional theory data (GGA-PBE) for a relaxed LiZn2Au6 crystal.

Geometry as POSCAR:
```
LiZn2Au6
1.0
8.352 0.000 0.000
0.000 8.352 0.000
0.000 0.000 4.272
Li Zn Au
2 4 12
Direct
0.000 0.000 0.000 Li
0.500 0.500 0.500 Li
0.189 0.189 0.500 Zn
0.311 0.689 0.000 Zn
0.689 0.311 0.000 Zn
0.811 0.811 0.500 Zn
0.018 0.322 0.000 Au
0.134 0.866 0.500 Au
0.178 0.518 0.500 Au
0.322 0.018 0.000 Au
0.366 0.366 0.000 Au
0.482 0.822 0.500 Au
0.518 0.178 0.500 Au
0.634 0.634 0.000 Au
0.678 0.982 0.000 Au
0.822 0.482 0.500 Au
0.866 0.134 0.500 Au
0.982 0.678 0.000 Au
```

E above lowest polymorph: 0 meV per atom
D(E_F): 3.8 states/eV per cell
total moment: 0.0 μB/cell
uncorrected energy: -2.9301 eV/atom
energy of formation from the pure elements: -0.249 eV per atom
symmetry: P4_2/mnm
volume: 298 Å³ per cell

***

Density functional theory data (GGA-PBE) for a relaxed LiZn3Au6 crystal.

Geometry as POSCAR:
```
LiZn3Au6
1.0
4.566 -6.569 0.000
4.566 6.569 0.000
0.000 0.000 6.066
Li Zn Au
2 6 12
Direct
0.181 0.819 0.500 Li
0.819 0.181 0.000 Li
0.130 0.294 0.518 Zn
0.294 0.130 0.018 Zn
0.416 0.584 0.295 Zn
0.584 0.416 0.795 Zn
0.706 0.870 0.518 Zn
0.870 0.706 0.018 Zn
0.001 0.999 0.270 Au
0.053 0.510 0.246 Au
0.217 0.783 0.947 Au
0.260 0.426 0.899 Au
0.426 0.260 0.399 Au
0.490 0.947 0.246 Au
0.510 0.053 0.746 Au
0.574 0.740 0.899 Au
0.740 0.574 0.399 Au
0.783 0.217 0.447 Au
0.947 0.490 0.746 Au
0.999 0.001 0.770 Au
```

E above lowest polymorph: 63 meV per atom
D(E_F): 2.9 states/eV per cell
total moment: 0.0 μB/cell
uncorrected energy: -2.7332 eV/atom
energy of formation from the pure elements: -0.193 eV per atom
symmetry: Cmc2_1
volume: 364 Å³ per cell

***

Density functional theory data (GGA-PBE) for a relaxed Li6Zn5Au crystal.

Geometry as POSCAR:
```
Li6Zn5Au
1.0
4.457 -5.790 0.000
4.457 5.790 0.000
-1.727 0.000 3.535
Li Zn Au
6 5 1
Direct
0.082 0.413 0.747 Li
0.245 0.245 0.244 Li
0.413 0.082 0.747 Li
0.587 0.918 0.253 Li
0.755 0.755 0.756 Li
0.918 0.587 0.253 Li
0.168 0.832 0.000 Zn
0.335 0.665 0.500 Zn
0.500 0.500 0.000 Zn
0.665 0.335 0.500 Zn
0.832 0.168 0.000 Zn
0.000 0.000 0.500 Au
```

D(E_F): 3.4 states/eV per cell
total moment: 0.0 μB/cell
uncorrected energy: -1.9928 eV/atom
energy of formation from the pure elements: -0.232 eV per atom
symmetry: C2/m
volume: 182 Å³ per cell

***

Density functional theory data (GGA-PBE) for a relaxed LiZn5Au8 crystal.

Geometry as POSCAR:
```
LiZn5Au8
1.0
-3.905 3.905 4.016
3.905 -3.905 4.016
3.905 3.905 -4.016
Li Zn Au
1 5 8
Direct
0.000 0.000 0.000 Li
0.075 0.224 0.603 Zn
0.250 0.750 0.500 Zn
0.528 0.925 0.149 Zn
0.621 0.472 0.397 Zn
0.776 0.379 0.851 Zn
0.075 0.646 0.762 Au
0.237 0.476 0.095 Au
0.354 0.117 0.429 Au
0.382 0.142 0.905 Au
0.524 0.618 0.760 Au
0.687 0.925 0.571 Au
0.858 0.763 0.240 Au
0.883 0.313 0.238 Au
```

D(E_F): 2.7 states/eV per cell
total moment: 0.0 μB/cell
uncorrected energy: -2.6410 eV/atom
energy of formation from the pure elements: -0.177 eV per atom
symmetry: I-4
volume: 245 Å³ per cell

***

Q: Number 4 is which compound?
A: Li2ZnAu9

***

Q: What is the formula in the fifth record?
A: LiZn6Au

***

Q: The lowest energy of formation from the pure elements belongs to which entry?
A: Li3Zn2Au2